A crystal of BiSbH2 relaxed with PBEsol. Source: the Alexandria database, functional meta-GGA SCAN.

Properties
energy: -29.8856 eV per atom
total moment: 0.0 μB per formula unit

Cell: 4.429 4.429 4.429 Å, 60.00 60.00 60.00°
Sites, in units of the cell vectors:
Bi1 0.000 0.000 0.000
Sb1 0.500 0.500 0.500
H1 0.250 0.250 0.250
H2 0.750 0.750 0.750